First-principles (PBE-GGA) data for LaPr6Nd8 after structural relaxation, as listed in Alexandria via LeMat-Bulk.

Structure (POSCAR):
```
LaPr6Nd8
1.0
-2.633 -0.476 6.240
0.967 -9.615 -0.326
7.189 5.468 3.451
La Pr Nd
1 6 8
Cartesian
-1.316 -0.238 3.120
-0.498 -6.136 4.174
3.253 -6.010 5.766
1.180 -2.554 5.155
6.021 1.513 5.191
2.271 1.387 3.599
4.343 -2.070 4.210
-0.143 0.901 6.231
3.805 -3.221 7.583
5.030 2.437 8.531
5.667 -5.524 3.134
1.718 -1.402 1.783
0.493 -7.060 0.834
2.756 0.013 7.784
2.768 -4.637 1.581
```

Results
* total moment: 0.0 μB/f.u.
* VASP energy: -4.623 eV per atom
* energy above the lowest structure with this stoichiometry: 23.9 meV per atom